## HfThZr2 (PBE)

Data for a relaxed structure of HfThZr2.

Results
Excess energy over the best structure of this formula in the dataset, meV per atom: 51

Lattice parameters (Å, degrees): 7.3298 7.3298 7.3298 90.00 90.00 90.00
Space group Fm-3m (No. 225)
Asymmetric unit:
Hf1 0.0000 0.0000 0.0000 (multiplicity 4)
Th1 0.0000 0.0000 0.5000 (multiplicity 4)
Zr1 0.2500 0.2500 0.2500 (multiplicity 8)



## LaGdYIn (PBE)

Data for a relaxed structure of LaGdYIn.

Results
Total energy, eV/atom: -7.239

Lattice parameters (Å, degrees): 7.8626 7.8626 7.8626 90.00 90.00 90.00
Space group F-43m (No. 216)
Asymmetric unit:
La1 0.0000 0.0000 0.0000 (multiplicity 4)
Gd1 0.2500 0.2500 0.2500 (multiplicity 4)
Y1 0.0000 0.0000 0.5000 (multiplicity 4)
In1 0.2500 0.2500 0.7500 (multiplicity 4)



## HoInTc4 (PBE)

Data for a relaxed structure of HoInTc4.

Results
Total energy, eV/atom: -8.128

Lattice parameters (Å, degrees): 7.5176 7.5176 7.5176 90.00 90.00 90.00
Space group F-43m (No. 216)
Asymmetric unit:
Ho1 0.0000 0.0000 0.0000 (multiplicity 4)
In1 0.2500 0.2500 0.7500 (multiplicity 4)
Tc1 0.1242 0.1242 0.3758 (multiplicity 16)



## TaInSb (PBE)

Data for a relaxed structure of TaInSb.

Results
E_form (uncorrected), eV/atom: 0.368
Excess energy over the best structure of this formula in the dataset, meV per atom: 242

Lattice parameters (Å, degrees): 5.0027 5.0027 3.0613 90.00 90.00 120.00
Space group P-6m2 (No. 187)
Asymmetric unit:
Ta1 0.0000 0.0000 0.0000 (multiplicity 1)
In1 0.6667 0.3333 0.5000 (multiplicity 1)
Sb1 0.3333 0.6667 0.0000 (multiplicity 1)



## SnGe3F9 (PBE)

Data for a relaxed structure of SnGe3F9.

Results
E_form (uncorrected), eV/atom: -2.111

Lattice parameters (Å, degrees): 16.2622 6.1705 12.0557 90.00 120.11 90.00
Space group Cc (No. 9)
Asymmetric unit:
Sn1 0.0000 0.0098 0.0000 (multiplicity 4)
Ge1 0.0026 0.4722 0.7470 (multiplicity 4)
Ge2 0.2317 0.2734 0.4165 (multiplicity 4)
Ge3 0.2850 0.1713 0.7253 (multiplicity 4)
F1 0.0066 0.2442 0.8712 (multiplicity 4)
F2 0.0304 0.2488 0.1415 (multiplicity 4)
F3 0.1411 0.0948 0.5577 (multiplicity 4)
F4 0.1635 0.4633 0.8560 (multiplicity 4)
F5 0.2807 0.3799 0.5961 (multiplicity 4)
F6 0.3343 0.0313 0.1572 (multiplicity 4)
F7 0.3393 0.3982 0.4167 (multiplicity 4)
F8 0.4309 0.2696 0.8436 (multiplicity 4)
F9 0.4930 0.2471 0.1257 (multiplicity 4)



## CeThIrBr (PBE)

Data for a relaxed structure of CeThIrBr.

Results
E_form (uncorrected), eV/atom: -1.032

Lattice parameters (Å, degrees): 4.1424 4.1424 23.7100 90.00 90.00 120.00
Space group R3m (No. 160, hexagonal axes)
Asymmetric unit:
Ce1 0.0000 0.0000 0.0000 (multiplicity 3)
Th1 0.0000 0.0000 0.2058 (multiplicity 3)
Ir1 0.0000 0.0000 0.6011 (multiplicity 3)
Br1 0.0000 0.0000 0.7701 (multiplicity 3)



The size of the total moment results, record by record, are as follows: 0.000; 2.116; 0.000; 0.000; 0.000; 0.229 μB per atom.
The ρ results, record by record, are as follows: 10.002; 6.831; 10.502; 10.449; 3.222; 9.109 g/cm³.
The DOS(E_F) results, record by record, are as follows: 7.88; 5.79; 7.12; 1.99; 3.35; 8.31 states/eV/f.u..